Compound: Sc3PbS
Source: Alexandria
Functional: PBE
Structure: optimized geometry

Output
Its density of states at the Fermi level is 8.245 states/eV/f.u. For the energy above the most stable polymorph in this dataset, the calculation gives 7.38 eV per formula unit. The space group is Pm-3m, No. 221. The value obtained for the uncorrected formation energy is 0.4729 eV/atom. The crystal system is cubic.

Cell: 5.417 5.417 5.417 Å, 90.00 90.00 90.00°
Last column: magnetic moment on the atom in μB.
Fractional positions:
Sc: 0.000 0.000 0.500  0.60
Sc: 0.500 0.000 0.000  0.59
Sc: 0.000 0.500 0.000  0.51
Pb: 0.000 0.000 0.000  -0.02
S: 0.500 0.500 0.500  -0.07



Compound: ScPbS2
Source: Alexandria
Functional: PBE
Structure: optimized geometry

Output
Its density of states at the Fermi level is 0.777 states/eV/f.u. The space group is R-3m, No. 166. The value obtained for the uncorrected formation energy is -1.2520 eV/atom. The crystal system is trigonal.

Cell: 8.799 8.799 8.799 Å, 24.24 24.24 24.24°
Fractional positions:
S: 0.111 0.111 0.111
S: 0.889 0.889 0.889
Sc: 0.500 0.500 0.500
Pb: 0.000 0.000 0.000



Compound: Sc2PbS2
Source: Alexandria
Functional: PBE
Structure: optimized geometry

Output
Its density of states at the Fermi level is 4.972 states/eV/f.u. The space group is I4/mmm, No. 139. The value obtained for the uncorrected formation energy is -1.0129 eV/atom. The crystal system is tetragonal.

Cell: 4.559 4.559 6.537 Å, 69.59 69.59 90.00°
Fractional positions:
S: 0.250 0.750 0.500
S: 0.750 0.250 0.500
Sc: 0.650 0.650 0.701
Sc: 0.350 0.350 0.299
Pb: 0.000 0.000 0.000



Compound: Sc3PbS
Source: Alexandria
Functional: PBE
Structure: optimized geometry

Output
Its density of states at the Fermi level is 4.856 states/eV/f.u. For the energy above the most stable polymorph in this dataset, the calculation gives 0.54 eV per formula unit. The space group is P2_1/c, No. 14. The value obtained for the uncorrected formation energy is -0.8967 eV/atom. The crystal system is monoclinic.

Cell: 6.239 8.468 9.841 Å, 118.48 90.00 90.00°
Fractional positions:
Sc: 0.404 0.206 0.164
Sc: 0.161 0.581 0.197
Sc: 0.068 0.837 0.035
Sc: 0.839 0.419 0.803
Sc: 0.339 0.081 0.697
Sc: 0.096 0.706 0.664
Sc: 0.932 0.163 0.965
Sc: 0.596 0.794 0.836
Sc: 0.904 0.294 0.336
Sc: 0.661 0.919 0.303
Sc: 0.432 0.337 0.535
Sc: 0.568 0.663 0.465
Pb: 0.683 0.500 0.135
Pb: 0.817 0.000 0.635
Pb: 0.317 0.500 0.865
Pb: 0.183 0.000 0.365
S: 0.736 0.020 0.102
S: 0.764 0.520 0.602
S: 0.236 0.480 0.398
S: 0.264 0.980 0.898



Compound: Sc5PbS8
Source: Alexandria
Functional: PBE
Structure: optimized geometry

Output
Its density of states at the Fermi level is 2.597 states/eV/f.u. The space group is Cm, No. 8. The value obtained for the uncorrected formation energy is -1.6879 eV/atom. The crystal system is monoclinic.

Cell: 3.675 9.219 9.886 Å, 103.91 100.71 90.00°
Fractional positions:
Sc: 0.346 0.034 0.692
Sc: 0.293 0.656 0.585
Sc: 0.004 0.999 0.009
Sc: 0.660 0.960 0.319
Sc: 0.705 0.337 0.411
S: 0.581 0.147 0.162
S: 0.236 0.146 0.472
S: 0.426 0.836 0.852
S: 0.920 0.176 0.839
S: 0.770 0.846 0.539
S: 0.086 0.812 0.171
S: 0.171 0.488 0.343
S: 0.832 0.504 0.665
Pb: 0.471 0.560 0.941



Compound: ScPbS2
Source: Alexandria
Functional: PBE
Structure: optimized geometry

Output
Its density of states at the Fermi level is 2.906 states/eV/f.u. The space group is I-42d, No. 122. The value obtained for the uncorrected formation energy is -0.9606 eV/atom. The crystal system is tetragonal.

Cell: 6.555 6.555 7.192 Å, 62.89 62.89 90.00°
Fractional positions:
S: 0.560 0.125 0.250
S: 0.875 0.810 0.750
S: 0.375 0.440 0.750
S: 0.190 0.625 0.250
Pb: 0.000 0.000 0.000
Pb: 0.750 0.250 0.500
Sc: 0.500 0.500 0.000
Sc: 0.250 0.750 0.500



Compound: ScPbS2
Source: Alexandria
Functional: PBE
Structure: optimized geometry

Output
Its density of states at the Fermi level is 1.101 states/eV/f.u. The space group is R3m, No. 160. The value obtained for the uncorrected formation energy is -1.2588 eV/atom. The crystal system is trigonal.

Cell: 3.677 3.677 8.087 Å, 76.86 76.86 60.00°
Fractional positions:
Pb: 0.501 0.501 0.498
S: 0.062 0.062 0.813
S: 0.270 0.270 0.189
Sc: 0.667 0.667 0.000



Compound: ScPb4S5
Source: Alexandria
Functional: PBE
Structure: optimized geometry

Output
Its density of states at the Fermi level is 4.321 states/eV/f.u. The space group is I4, No. 79. The value obtained for the uncorrected formation energy is -0.7562 eV/atom. The crystal system is tetragonal.

Cell: 5.973 7.234 7.234 Å, 80.19 65.62 65.62°
Fractional positions:
S: 0.473 0.000 0.000
S: 0.738 0.163 0.358
S: 0.901 0.358 0.837
S: 0.259 0.837 0.642
S: 0.096 0.642 0.163
Pb: 0.195 0.201 0.405
Pb: 0.600 0.595 0.201
Pb: 0.396 0.405 0.799
Pb: 0.801 0.799 0.595
Sc: 0.052 0.000 0.000